[1]
Entry from the Alexandria database: crystalline Pm2ThSb3Rh4 at its relaxed geometry (PBE-GGA).

## Properties
E, eV per formula unit: -67.1

```
Pm2ThSb3Rh4
1.0
4.4930 0.0000 0.0000
0.0000 4.4930 0.0000
0.0000 0.0000 11.3754
Pm Th Sb Rh
2 1 3 4
Cartesian
0.0000 2.2465 2.3845
2.2465 0.0000 8.9909
0.0000 0.0000 5.6877
0.0000 2.2465 9.8969
2.2465 0.0000 1.4785
2.2465 2.2465 5.6877
0.0000 0.0000 0.0000
0.0000 2.2465 7.3178
2.2465 0.0000 4.0577
2.2465 2.2465 0.0000
```

[2]
Entry from the Alexandria database: crystalline Dy2MnSi4Ir3 at its relaxed geometry (PBE-GGA).

## Properties
E, eV per formula unit: -75.8

```
Dy2MnSi4Ir3
1.0
4.0685 0.0000 0.0000
0.0000 4.0685 0.0000
0.0000 0.0000 10.1038
Dy Mn Si Ir
2 1 4 3
Cartesian
0.0000 2.0343 2.5091
2.0343 0.0000 7.5946
0.0000 0.0000 5.0519
0.0000 0.0000 0.0000
0.0000 2.0343 6.4022
2.0343 0.0000 3.7016
2.0343 2.0343 0.0000
0.0000 2.0343 8.8056
2.0343 0.0000 1.2982
2.0343 2.0343 5.0519
```

[3]
Entry from the Alexandria database: crystalline PuAlGaPt3 at its relaxed geometry (PBE-GGA).

## Properties
Energy of formation from the pure elements, eV per atom: -0.683
E, eV per formula unit: -43.3

```
PuAlGaPt3
1.0
2.8285 -7.9718 0.0000
2.8285 7.9718 0.0000
0.0000 0.0000 5.6419
Pu Al Ga Pt
2 2 2 6
Cartesian
2.8285 4.6162 4.2314
2.8285 -4.6162 1.4105
2.8285 1.4721 1.4105
2.8285 -1.4721 4.2314
2.8285 6.4141 1.4105
2.8285 -6.4141 4.2314
1.4069 0.0000 0.0000
1.4069 0.0000 2.8209
2.8285 3.9288 1.4105
2.8285 -3.9288 4.2314
4.2500 0.0000 0.0000
4.2500 0.0000 2.8209
```

[4]
Entry from the Alexandria database: crystalline BiIrI3 at its relaxed geometry (PBE-GGA).

## Properties
Relative energy among the computed polymorphs, eV per atom: 0.0000
E, eV per formula unit: -15.4

```
BiIrI3
1.0
5.3895 0.0000 0.0000
0.0000 5.3895 0.0000
0.0000 0.0000 5.3895
Bi Ir I
1 1 3
Cartesian
0.0000 0.0000 0.0000
2.6948 2.6948 2.6948
0.0000 2.6948 2.6948
2.6948 0.0000 2.6948
2.6948 2.6948 0.0000
```

Please write out number 1 again, unchanged.
Entry from the Alexandria database: crystalline Pm2ThSb3Rh4 at its relaxed geometry (PBE-GGA).

## Properties
E, eV per formula unit: -67.1

```
Pm2ThSb3Rh4
1.0
4.4930 0.0000 0.0000
0.0000 4.4930 0.0000
0.0000 0.0000 11.3754
Pm Th Sb Rh
2 1 3 4
Cartesian
0.0000 2.2465 2.3845
2.2465 0.0000 8.9909
0.0000 0.0000 5.6877
0.0000 2.2465 9.8969
2.2465 0.0000 1.4785
2.2465 2.2465 5.6877
0.0000 0.0000 0.0000
0.0000 2.2465 7.3178
2.2465 0.0000 4.0577
2.2465 2.2465 0.0000
```

Please write out number 4 again, unchanged.
Entry from the Alexandria database: crystalline BiIrI3 at its relaxed geometry (PBE-GGA).

## Properties
Relative energy among the computed polymorphs, eV per atom: 0.0000
E, eV per formula unit: -15.4

```
BiIrI3
1.0
5.3895 0.0000 0.0000
0.0000 5.3895 0.0000
0.0000 0.0000 5.3895
Bi Ir I
1 1 3
Cartesian
0.0000 0.0000 0.0000
2.6948 2.6948 2.6948
0.0000 2.6948 2.6948
2.6948 0.0000 2.6948
2.6948 2.6948 0.0000
```